# 1
An optimized crystal structure of BeGe2BO, computed with PBEsol.

Lattice parameters (Å, degrees): 2.9032 4.7939 4.7939 90.00 90.00 90.00
Sites, in units of the cell vectors:
O  0.5000  0.0000  0.0000
B  0.5000  0.5000  0.5000
Ge  0.0000  0.0000  0.5000
Be  0.0000  0.0000  0.0000
Ge  0.0000  0.5000  0.0000

Summary:
Its density of states at the Fermi level is 0.518 states/eV/atom. As for the raw total energy: -24.3 eV/cell.

***

# 2
An optimized crystal structure of KAl2Se, computed with PBEsol.

Lattice parameters (Å, degrees): 4.1749 4.1749 6.1399 109.88 109.88 90.00
Sites, in units of the cell vectors:
Al  0.2500  0.7500  0.5000
Al  0.7500  0.2500  0.5000
K  0.5000  0.5000  0.0000
Se  0.0000  0.0000  0.0000

Summary:
Its density of states at the Fermi level is 0.471 states/eV/atom. As for the raw total energy: -13.0 eV/cell.

***

# 3
An optimized crystal structure of FeCoSn4, computed with PBEsol.

Lattice parameters (Å, degrees): 5.2047 5.2047 5.2047 105.52 105.52 117.69
Last column: magnetic moment on the atom in μB.
Sites, in units of the cell vectors:
Sn  0.5841  0.0841  0.1682  -0.03
Sn  0.9159  0.4159  0.8318  -0.03
Co  0.0000  0.0000  0.0000  -0.22
Fe  0.5000  0.5000  0.0000  1.16
Sn  0.4159  0.5841  0.5000  -0.03
Sn  0.0841  0.9159  0.5000  -0.03

Summary:
Its density of states at the Fermi level is 0.785 states/eV/atom. As for the formation energy: -6.3 kJ per mole of atoms.

***

# 4
An optimized crystal structure of Li4Nb2Ni3Sn3O16, computed with PBEsol.

Lattice parameters (Å, degrees): 6.0386 6.0386 9.6793 89.00 89.00 60.39
Last column: magnetic moment on the atom in μB.
Sites, in units of the cell vectors:
Sn  0.6622  0.1673  0.7859  0.00
Ni  0.1709  0.1709  0.7858  1.51
O  0.8313  0.3373  0.9062  0.05
Li  0.6671  0.6671  0.5933  0.00
Ni  0.3388  0.8289  0.2873  1.49
Sn  0.8295  0.8295  0.2844  -0.01
O  0.8387  0.8387  0.9087  0.00
O  0.4818  0.0407  0.6545  0.09
O  0.3373  0.8313  0.9062  0.05
O  0.5191  0.9603  0.1494  0.08
Ni  0.8289  0.3388  0.2873  1.49
O  0.5103  0.5103  0.1550  0.13
O  0.6624  0.6624  0.3906  0.12
O  0.1662  0.6649  0.4114  0.05
Li  0.3232  0.3232  0.1036  0.00
Nb  0.6480  0.6480  0.0228  0.07
O  0.6649  0.1662  0.4114  0.05
Nb  0.3248  0.3248  0.4997  0.11
Sn  0.1673  0.6622  0.7859  0.00
O  0.3316  0.3316  0.9001  0.07
O  0.9603  0.5191  0.1494  0.08
O  0.0058  0.0058  0.6865  0.06
O  0.0407  0.4818  0.6545  0.09
O  0.0044  0.0044  0.1979  0.11
O  0.1712  0.1712  0.4032  0.07
Li  0.0091  0.0091  0.4997  0.00
Li  0.0176  0.0176  0.0140  0.00
O  0.4869  0.4869  0.6574  0.00

Summary:
As for the raw total energy: -193.9 eV/cell.

***

# 5
An optimized crystal structure of HfTl3Te, computed with PBEsol.

Lattice parameters (Å, degrees): 5.6190 5.6190 5.6190 90.00 90.00 90.00
Last column: magnetic moment on the atom in μB.
Sites, in units of the cell vectors:
Tl  0.0000  0.5000  0.0000  0.01
Te  0.0000  0.0000  0.0000  0.04
Tl  0.0000  0.0000  0.5000  0.01
Hf  0.5000  0.5000  0.5000  0.60
Tl  0.5000  0.0000  0.0000  0.01

Summary:
Its density of states at the Fermi level is 1.232 states/eV/atom. As for the raw total energy: -15.9 eV/cell.

***

# 6
An optimized crystal structure of CaTl2Cd, computed with PBEsol.

Lattice parameters (Å, degrees): 3.7512 3.7512 7.3242 90.00 90.00 90.10
Sites, in units of the cell vectors:
Ca  0.5000  0.5000  0.5000
Cd  0.5000  0.5000  0.0000
Tl  0.0000  0.0000  0.7719
Tl  0.0000  0.0000  0.2281

Summary:
Its density of states at the Fermi level is 0.397 states/eV/atom. As for the formation energy: -20.9 kJ per mole of atoms. As for the energy above the most stable polymorph in this dataset: 54 meV/atom.

***

# 7
An optimized crystal structure of Cu2Pt, computed with PBEsol.

Lattice parameters (Å, degrees): 2.7177 6.4004 8.7682 97.00 90.00 90.00
Sites, in units of the cell vectors:
Pt  0.7500  0.3159  0.4581
Cu  0.2500  0.9819  0.3667
Cu  0.2500  0.6650  0.0176
Pt  0.7500  0.6436  0.2641
Pt  0.2500  0.6841  0.5419
Cu  0.7500  0.9796  0.1179
Cu  0.7500  0.0181  0.6333
Pt  0.2500  0.3564  0.7359
Cu  0.7500  0.3350  0.9824
Cu  0.2500  0.0204  0.8821
Cu  0.2500  0.2944  0.2060
Cu  0.7500  0.7056  0.7940

Summary:
Its density of states at the Fermi level is 0.482 states/eV/atom. As for the formation energy: -7.7 kJ per mole of atoms. As for the energy above the most stable polymorph in this dataset: 46 meV/atom.

***

# 8
An optimized crystal structure of KTiGe3, computed with PBEsol.

Lattice parameters (Å, degrees): 4.9203 4.9203 4.9203 90.00 90.00 90.00
Sites, in units of the cell vectors:
Ge  0.0000  0.5000  0.0000
Ge  0.5000  0.0000  0.0000
K  0.5000  0.5000  0.5000
Ti  0.0000  0.0000  0.0000
Ge  0.0000  0.0000  0.5000

Summary:
Its density of states at the Fermi level is 0.363 states/eV/atom. As for the formation energy: -5.2 kJ per mole of atoms.

***

# 9
An optimized crystal structure of SrScSe2Br, computed with PBEsol.

Lattice parameters (Å, degrees): 5.4257 5.6059 5.6059 90.00 90.00 90.00
Last column: magnetic moment on the atom in μB.
Sites, in units of the cell vectors:
Sr  0.0000  0.0000  0.0000  0.00
Se  0.0000  0.0000  0.5000  -0.12
Sc  0.5000  0.5000  0.5000  0.50
Br  0.5000  0.0000  0.0000  -0.01
Se  0.0000  0.5000  0.0000  -0.12

Summary:
Its density of states at the Fermi level is 1.025 states/eV/atom. As for the raw total energy: -19.9 eV/cell.

***

# 10
An optimized crystal structure of Y2MnCu2, computed with PBEsol.

Lattice parameters (Å, degrees): 3.3623 3.3623 8.8167 100.99 100.99 90.00
Last column: magnetic moment on the atom in μB.
Sites, in units of the cell vectors:
Cu  0.7500  0.2500  0.5000  0.00
Y  0.6061  0.6061  0.2121  -0.23
Mn  0.0000  0.0000  0.0000  3.03
Cu  0.2500  0.7500  0.5000  0.00
Y  0.3939  0.3939  0.7879  -0.23

Summary:
Its density of states at the Fermi level is 1.010 states/eV/atom. As for the formation energy: 19.2 kJ per mole of atoms.

***

# 11
An optimized crystal structure of ZrAlZn3, computed with PBEsol.

Lattice parameters (Å, degrees): 4.5294 4.5294 4.5294 90.00 90.00 90.00
Sites, in units of the cell vectors:
Zn  0.0000  0.0000  0.5000
Zr  0.5000  0.5000  0.5000
Al  0.0000  0.0000  0.0000
Zn  0.5000  0.0000  0.0000
Zn  0.0000  0.5000  0.0000

Summary:
Its density of states at the Fermi level is 0.553 states/eV/atom. As for the formation energy: 50.8 kJ per mole of atoms. As for the energy above the most stable polymorph in this dataset: 0 meV/atom.

***

# 12
An optimized crystal structure of InGaP2, computed with PBEsol.

Lattice parameters (Å, degrees): 3.9950 3.9950 6.9484 73.29 73.29 60.00
Sites, in units of the cell vectors:
P  0.6299  0.6299  0.1103
Ga  0.0001  0.0001  0.9998
In  0.5007  0.5007  0.4978
P  0.1193  0.1193  0.6421

Summary:
As for the formation energy: -24.8 kJ per mole of atoms. As for the energy above the most stable polymorph in this dataset: 27 meV/atom.

***

# 13
An optimized crystal structure of MnP3W, computed with PBEsol.

Lattice parameters (Å, degrees): 4.2892 4.2892 4.2892 90.00 90.00 90.00
Last column: magnetic moment on the atom in μB.
Sites, in units of the cell vectors:
P  0.0000  0.0000  0.5000  -0.05
P  0.5000  0.0000  0.0000  -0.05
W  0.5000  0.5000  0.5000  1.98
Mn  0.0000  0.0000  0.0000  1.48
P  0.0000  0.5000  0.0000  -0.05

Summary:
Its density of states at the Fermi level is 0.845 states/eV/atom. As for the formation energy: 99.2 kJ per mole of atoms.

***

# 14
An optimized crystal structure of Ag2SbRu, computed with PBEsol.

Lattice parameters (Å, degrees): 3.8842 3.8852 4.4454 90.00 90.00 90.00
Sites, in units of the cell vectors:
Sb  0.0000  0.5000  0.5000
Ru  0.5000  0.0000  0.5000
Ag  0.0000  0.0000  0.0000
Ag  0.5000  0.5000  0.0000

Summary:
Its density of states at the Fermi level is 0.638 states/eV/atom. As for the raw total energy: -20.4 eV/cell.

***

# 15
An optimized crystal structure of Os2W, computed with PBEsol.

Lattice parameters (Å, degrees): 4.4031 4.7690 4.7835 119.90 90.00 90.00
Sites, in units of the cell vectors:
Os  0.2500  0.8364  0.3377
Os  0.7500  0.1636  0.6623
Os  0.2500  0.4987  0.6623
W  0.7500  0.8253  0.0000
W  0.2500  0.1747  0.0000
Os  0.7500  0.5013  0.3377

Summary:
Its density of states at the Fermi level is 0.827 states/eV/atom. As for the formation energy: 3.4 kJ per mole of atoms. As for the energy above the most stable polymorph in this dataset: 31 meV/atom.

***

# 16
An optimized crystal structure of MnCu, computed with PBEsol.

Lattice parameters (Å, degrees): 3.4509 3.4509 3.4509 60.00 60.00 60.00
Last column: magnetic moment on the atom in μB.
Sites, in units of the cell vectors:
Cu  0.0000  0.0000  0.0000  0.20
Mn  0.5000  0.5000  0.5000  3.70

Summary:
Its density of states at the Fermi level is 0.662 states/eV/atom. As for the formation energy: 80.5 kJ per mole of atoms.

***

# 17
An optimized crystal structure of NiRuPt2, computed with PBEsol.

Lattice parameters (Å, degrees): 2.6739 4.6449 4.6449 109.81 90.00 90.00
Last column: magnetic moment on the atom in μB.
Sites, in units of the cell vectors:
Ru  0.5000  0.0000  0.0000  0.30
Pt  0.0000  0.0000  0.5000  0.16
Ni  0.5000  0.5000  0.5000  0.80
Pt  0.0000  0.5000  0.0000  0.16

Summary:
Its density of states at the Fermi level is 1.568 states/eV/atom. As for the formation energy: 2.0 kJ per mole of atoms. As for the energy above the most stable polymorph in this dataset: 43 meV/atom.

***

# 18
An optimized crystal structure of SrAgHg, computed with PBEsol.

Lattice parameters (Å, degrees): 3.9152 4.8381 4.8381 120.00 90.00 90.00
Sites, in units of the cell vectors:
Hg  0.0000  0.3333  0.6667
Sr  0.5000  0.6667  0.3333
Ag  0.0000  0.0000  0.0000

Summary:
Its density of states at the Fermi level is 0.581 states/eV/atom. As for the formation energy: -39.0 kJ per mole of atoms.

***

# 19
An optimized crystal structure of Zn4Cd, computed with PBEsol.

Lattice parameters (Å, degrees): 3.9490 4.8624 4.8624 80.51 66.04 66.04
Sites, in units of the cell vectors:
Zn  0.4059  0.4024  0.7859
Cd  0.0000  0.0000  0.0000
Zn  0.1917  0.2141  0.4024
Zn  0.5941  0.5976  0.2141
Zn  0.8083  0.7859  0.5976

Summary:
Its density of states at the Fermi level is 0.323 states/eV/atom. As for the formation energy: 6.8 kJ per mole of atoms. As for the energy above the most stable polymorph in this dataset: 0 meV/atom.

***

# 20
An optimized crystal structure of Ce2CuBiS5, computed with PBEsol.

Lattice parameters (Å, degrees): 3.8549 11.8905 16.5693 90.00 90.00 90.00
Last column: magnetic moment on the atom in μB.
Sites, in units of the cell vectors:
S  0.7500  0.4179  0.0797  -0.01
S  0.7500  0.9879  0.2033  -0.02
S  0.2500  0.0821  0.5797  -0.01
S  0.2500  0.8050  0.6074  -0.02
S  0.7500  0.1950  0.3926  -0.02
S  0.2500  0.2607  0.2390  -0.01
S  0.2500  0.1011  0.0284  -0.02
S  0.7500  0.2393  0.7390  -0.01
Bi  0.2500  0.8019  0.8653  0.01
S  0.2500  0.7607  0.2610  -0.01
Cu  0.2500  0.4164  0.0028  -0.01
Cu  0.7500  0.5836  0.9972  -0.01
Ce  0.2500  0.3758  0.3987  0.90
S  0.2500  0.5121  0.7033  -0.02
S  0.7500  0.3989  0.5284  -0.02
Bi  0.7500  0.6981  0.3653  0.01
Cu  0.7500  0.0836  0.5028  -0.01
Bi  0.7500  0.1981  0.1347  0.01
Ce  0.7500  0.6242  0.6013  0.90
S  0.7500  0.7393  0.7610  -0.01
Ce  0.2500  0.5446  0.1738  0.89
S  0.7500  0.6950  0.1074  -0.02
S  0.7500  0.8989  0.9716  -0.02
S  0.7500  0.4879  0.2967  -0.02
Ce  0.2500  0.0446  0.3262  0.89
S  0.2500  0.0121  0.7967  -0.02
S  0.2500  0.6011  0.4716  -0.02
Ce  0.7500  0.4554  0.8262  0.89
S  0.2500  0.3050  0.8926  -0.02
Bi  0.2500  0.3019  0.6347  0.01
Cu  0.2500  0.9164  0.4972  -0.01
Ce  0.2500  0.8758  0.1013  0.90
S  0.2500  0.5821  0.9203  -0.01
S  0.7500  0.9179  0.4203  -0.01
Ce  0.7500  0.1242  0.8987  0.90
Ce  0.7500  0.9554  0.6738  0.89

Summary:
Its density of states at the Fermi level is 1.439 states/eV/atom. As for the raw total energy: -220.4 eV/cell.

***

# 21
An optimized crystal structure of CaTl2Ag, computed with PBEsol.

Lattice parameters (Å, degrees): 3.6097 4.6080 6.3183 90.00 106.16 90.00
Sites, in units of the cell vectors:
Tl  0.9451  0.0000  0.0170
Tl  0.5616  0.5000  0.2470
Ag  0.7009  0.0000  0.5223
Ca  0.2924  0.5000  0.7138

Summary:
Its density of states at the Fermi level is 0.501 states/eV/atom. As for the formation energy: -15.9 kJ per mole of atoms.

***

# 22
An optimized crystal structure of RbBiO2F, computed with PBEsol.

Lattice parameters (Å, degrees): 4.3139 4.3139 4.6234 90.00 90.00 90.00
Sites, in units of the cell vectors:
O  0.0000  0.5000  0.0000
O  0.5000  0.0000  0.0000
Bi  0.0000  0.0000  0.0000
Rb  0.5000  0.5000  0.5000
F  0.0000  0.0000  0.5000

Summary:
Its density of states at the Fermi level is 0.093 states/eV/atom. As for the raw total energy: -25.8 eV/cell.

***

# 23
An optimized crystal structure of MgZrIr2, computed with PBEsol.

Lattice parameters (Å, degrees): 2.9217 2.9217 8.9458 80.60 80.60 60.00
Sites, in units of the cell vectors:
Ir  0.2492  0.2492  0.2523
Mg  0.5000  0.5000  0.5000
Ir  0.7508  0.7508  0.7477
Zr  0.0000  0.0000  0.0000

Summary:
Its density of states at the Fermi level is 0.746 states/eV/atom. As for the formation energy: -25.7 kJ per mole of atoms.

***

# 24
An optimized crystal structure of Ba2Hf7O16, computed with PBEsol.

Lattice parameters (Å, degrees): 6.3959 6.3959 9.6904 70.73 70.73 60.00
Sites, in units of the cell vectors:
Hf  0.2492  0.5147  0.3502
Ba  0.6661  0.6661  0.0016
Ba  0.3339  0.3339  0.9984
Hf  0.7508  0.4853  0.6498
O  0.7833  0.3124  0.8641
O  0.5672  0.5672  0.2984
Hf  0.4853  0.1141  0.6498
Hf  0.5147  0.8859  0.3502
O  0.9598  0.2167  0.1359
O  0.3124  0.0402  0.8641
O  0.4114  0.8510  0.5883
O  0.5886  0.1490  0.4117
O  0.0402  0.7833  0.8641
O  0.8506  0.5886  0.4117
Hf  0.8859  0.2492  0.3502
O  0.8510  0.1494  0.5883
Hf  0.0000  0.0000  0.0000
Hf  0.1141  0.7508  0.6498
O  0.1490  0.8506  0.4117
O  0.4328  0.4328  0.7016
O  0.2167  0.6876  0.1359
O  0.7664  0.7664  0.7009
O  0.6876  0.9598  0.1359
O  0.2336  0.2336  0.2991
O  0.1494  0.4114  0.5883

Summary:
Its density of states at the Fermi level is 0.000 states/eV/atom. As for the raw total energy: -249.1 eV/cell.

***

no.,volume (Å³/cell)
1,66.7
2,93.8
3,106.8
4,306.8
5,177.4
6,103.1
7,151.4
8,119.1
9,170.5
10,96.0
11,92.9
12,90.6
13,78.9
14,67.1
15,87.1
16,29.1
17,54.3
18,79.4
19,78.0
20,759.5
21,100.9
22,86.0
23,64.9
24,317.4